(1)
Below is crystalline AlPbW at its relaxed geometry, with properties calculated at the PBE level.

Cell: 4.736 4.736 3.018 Å, 90.00 90.00 120.00°
Fractional coordinates of all 3 atoms:
Al  0.000  0.000  0.000
Pb  0.667  0.333  0.500
W  0.333  0.667  0.000

distance to the lowest polymorph of the same formula = 242.4 meV/atom
energy relative to the elements = 18.18 kcal/mol of atoms

(2)
Below is crystalline Fe5As3 at its relaxed geometry, with properties calculated at the PBE level.

Cell: 6.776 6.776 6.726 Å, 99.02 99.02 132.84°
Fractional coordinates of all 16 atoms:
Fe  0.000  0.000  0.000
Fe  0.062  0.837  0.634
Fe  0.261  0.475  0.339
Fe  0.380  0.729  0.780
Fe  0.475  0.261  0.339
Fe  0.515  0.515  0.018
Fe  0.599  0.938  0.197
Fe  0.729  0.380  0.780
Fe  0.837  0.062  0.634
Fe  0.938  0.599  0.197
As  0.086  0.415  0.980
As  0.407  0.926  0.489
As  0.415  0.086  0.980
As  0.603  0.603  0.665
As  0.926  0.407  0.489
As  0.959  0.959  0.346

distance to the lowest polymorph of the same formula = 0.0 meV/atom
energy relative to the elements = 0.05 kcal/mol of atoms

(3)
Below is crystalline AlGaSn2 at its relaxed geometry, with properties calculated at the PBE level.

Cell: 5.073 5.073 5.073 Å, 60.00 60.00 60.00°
Fractional coordinates of all 4 atoms:
Al  0.000  0.000  0.000
Ga  0.500  0.500  0.500
Sn  0.250  0.250  0.250
Sn  0.750  0.750  0.750

distance to the lowest polymorph of the same formula = 4.9 meV/atom
energy relative to the elements = 2.70 kcal/mol of atoms

(4)
Below is crystalline K2Sr2TeO6 at its relaxed geometry, with properties calculated at the PBE level.

Cell: 6.096 6.096 6.621 Å, 97.87 97.87 118.39°
Fractional coordinates of all 11 atoms:
K  0.159  0.841  0.000
K  0.841  0.159  0.000
Sr  0.337  0.663  0.500
Sr  0.663  0.337  0.500
Te  0.000  0.000  0.500
O  0.046  0.320  0.672
O  0.208  0.208  0.320
O  0.320  0.046  0.672
O  0.680  0.954  0.328
O  0.792  0.792  0.680
O  0.954  0.680  0.328

E_form (uncorrected) = -1.9451 eV/atom

In the order shown, the computed N(E_F) values come out to 2.16 16.68 2.07 0.00 states/eV per cell.
In the order shown, the computed VASP energy values come out to -6.013 -7.031 -3.577 -5.440 eV per atom.
In the order shown, the computed volume values come out to 19.538 13.021 23.081 18.962 Å³ per atom.